This record from Alexandria describes a relaxed structure of RbInGeBr4. The functional is PBE-GGA.

extended XYZ file:
```
14
Lattice="8.0254 0.0000 0.0000 0.0000 7.2657 0.0000 -3.8122 0.0000 9.1823" Properties=species:S:1:pos:R:3 pbc="T T T"
Rb -0.9019 1.8164 3.7481
Rb 5.1151 5.4492 5.4342
In 1.5973 5.4492 0.7815
In 2.6159 1.8164 8.4009
Ge 1.3653 5.4492 5.9934
Ge 2.8478 1.8164 3.1889
Br 0.0365 5.4492 3.4464
Br 1.1025 1.8164 0.9167
Br -0.0944 0.0102 6.8411
Br -0.0944 3.6226 6.8411
Br 4.3075 3.6431 2.3413
Br 4.3075 7.2554 2.3413
Br 3.1107 5.4492 8.2656
Br 4.1766 1.8164 5.7360
```

- Total moment: 0.00 μB/f.u.
- Fermi-level density of states: 0.000 states/eV/atom
- Formation energy from raw total energies: -0.9130 eV/atom

This record from Alexandria describes a relaxed structure of In2GeRhBr. The functional is PBE-GGA.

extended XYZ file:
```
5
Lattice="5.2675 0.0000 0.0000 0.0000 5.2675 0.0000 0.0000 0.0000 4.6707" Properties=species:S:1:pos:R:3 pbc="T T T"
In 0.0000 2.6338 0.0000
In 2.6338 0.0000 0.0000
Ge 0.0000 0.0000 2.3353
Rh 0.0000 0.0000 0.0000
Br 2.6338 2.6338 2.3353
```

- Total moment: 0.00 μB/f.u.
- Fermi-level density of states: 0.071 states/eV/atom
- Formation energy from raw total energies: -0.4137 eV/atom

This record from Alexandria describes a relaxed structure of In2GeRuBr. The functional is PBE-GGA.

extended XYZ file:
```
5
Lattice="5.2868 0.0000 0.0000 0.0000 5.2868 0.0000 0.0000 0.0000 4.6726" Properties=species:S:1:pos:R:3 pbc="T T T"
In 0.0000 2.6434 0.0000
In 2.6434 0.0000 0.0000
Ge 0.0000 0.0000 2.3363
Ru 0.0000 0.0000 0.0000
Br 2.6434 2.6434 2.3363
```

- Total moment: 0.00 μB/f.u.
- Fermi-level density of states: 0.522 states/eV/atom
- Formation energy from raw total energies: -0.2309 eV/atom

This record from Alexandria describes a relaxed structure of In2GeSBr. The functional is PBE-GGA.

extended XYZ file:
```
5
Lattice="5.8328 0.0000 0.0000 0.0000 5.8328 0.0000 0.0000 0.0000 4.7838" Properties=species:S:1:pos:R:3 pbc="T T T"
In 0.0000 2.9164 0.0000
In 2.9164 0.0000 0.0000
Ge 0.0000 0.0000 2.3919
S 2.9164 2.9164 2.3919
Br 2.9164 2.9164 0.0000
```

- Total moment: 0.00 μB/f.u.
- Fermi-level density of states: 0.658 states/eV/atom
- Formation energy from raw total energies: 0.6171 eV/atom

This record from Alexandria describes a relaxed structure of InGeSe2Br. The functional is PBE-GGA.

extended XYZ file:
```
5
Lattice="5.3186 0.0000 0.0000 0.0000 5.3186 0.0000 0.0000 0.0000 5.2661" Properties=species:S:1:pos:R:3 pbc="T T T"
In 0.0000 0.0000 0.0000
Ge 2.6593 2.6593 2.6330
Se 0.0000 2.6593 0.0000
Se 2.6593 0.0000 0.0000
Br 0.0000 0.0000 2.6330
```

- Total moment: 0.00 μB/f.u.
- Fermi-level density of states: 0.441 states/eV/atom
- Formation energy from raw total energies: 0.2314 eV/atom
- ΔE to the lowest computed polymorph: 1.56 eV/f.u.

This record from Alexandria describes a relaxed structure of InGeSe2Br. The functional is PBE-GGA.

extended XYZ file:
```
5
Lattice="5.5895 0.0000 0.0000 0.0000 5.5895 0.0000 0.0000 0.0000 5.1200" Properties=species:S:1:pos:R:3 pbc="T T T"
In 0.0000 0.0000 0.0000
Ge 2.7948 2.7948 0.0000
Se 0.0000 2.7948 2.5600
Se 2.7948 0.0000 2.5600
Br 2.7948 2.7948 2.5600
```

- Total moment: 0.00 μB/f.u.
- Fermi-level density of states: 0.954 states/eV/atom
- Formation energy from raw total energies: 0.6479 eV/atom
- ΔE to the lowest computed polymorph: 3.65 eV/f.u.

This record from Alexandria describes a relaxed structure of InGeSeBr2. The functional is PBE-GGA.

extended XYZ file:
```
5
Lattice="5.3958 0.0000 0.0000 0.0000 5.3958 0.0000 0.0000 0.0000 5.3839" Properties=species:S:1:pos:R:3 pbc="T T T"
In 0.0000 0.0000 0.0000
Ge 2.6979 2.6979 2.6920
Se 0.0000 0.0000 2.6920
Br 0.0000 2.6979 0.0000
Br 2.6979 0.0000 0.0000
```

- Total moment: 0.62 μB/f.u.
- Fermi-level density of states: 0.441 states/eV/atom
- Formation energy from raw total energies: 0.0882 eV/atom
- ΔE to the lowest computed polymorph: 1.78 eV/f.u.

This record from Alexandria describes a relaxed structure of InGeSe2Br. The functional is PBE-GGA.

extended XYZ file:
```
5
Lattice="5.0328 0.0000 0.0000 0.0000 5.0328 0.0000 0.0000 0.0000 5.5466" Properties=species:S:1:pos:R:3 pbc="T T T"
In 0.0000 0.0000 0.0000
Ge 2.5164 2.5164 2.7733
Se 0.0000 2.5164 2.7733
Se 2.5164 0.0000 2.7733
Br 2.5164 2.5164 0.0000
```

- Total moment: 0.00 μB/f.u.
- Fermi-level density of states: 0.279 states/eV/atom
- Formation energy from raw total energies: -0.0814 eV/atom
- ΔE to the lowest computed polymorph: 0.00 eV/f.u.